First-principles (PBE) data for HfTcSe2Br after structural relaxation, as listed in Alexandria via LeMat-Bulk.

The structure in CIF format:
```
data_HfTcSe2Br
_chemical_formula_sum 'Hf1 Tc1 Se2 Br1'
_cell_length_a 5.179
_cell_length_b 5.179
_cell_length_c 5.192
_cell_angle_alpha 90.00
_cell_angle_beta 90.00
_cell_angle_gamma 90.00
_space_group_name_H-M_alt 'P 4/m m m'
_space_group_IT_number 123
_space_group_name_Hall '-P 4 2'
loop_
_atom_site_label
_atom_site_fract_x
_atom_site_fract_y
_atom_site_fract_z
Hf1 0.000 0.000 0.000
Tc1 0.500 0.500 0.500
Se1 0.000 0.500 0.000
Br1 0.000 0.000 0.500
```

Results
E_form (uncorrected): 0.235 eV/atom
Energy above the most stable polymorph in this dataset: 0.0000 eV per atom
N(E_F): 0.7313 states/eV/atom
Uncorrected energy: -27.79 eV per formula unit



First-principles (PBE) data for HfTcSeBr2 after structural relaxation, as listed in Alexandria via LeMat-Bulk.

The structure in CIF format:
```
data_HfTcSeBr2
_chemical_formula_sum 'Hf1 Tc1 Se1 Br2'
_cell_length_a 4.995
_cell_length_b 4.995
_cell_length_c 4.842
_cell_angle_alpha 90.00
_cell_angle_beta 90.00
_cell_angle_gamma 90.00
_space_group_name_H-M_alt 'P 4/m m m'
_space_group_IT_number 123
_space_group_name_Hall '-P 4 2'
loop_
_atom_site_label
_atom_site_fract_x
_atom_site_fract_y
_atom_site_fract_z
Hf1 0.000 0.000 0.000
Tc1 0.500 0.500 0.500
Se1 0.500 0.500 0.000
Br1 0.000 0.500 0.500
```

Results
E_form (uncorrected): 0.654 eV/atom
Energy above the most stable polymorph in this dataset: 0.3426 eV per atom
N(E_F): 1.8395 states/eV/atom
Uncorrected energy: -23.88 eV per formula unit



First-principles (PBE) data for HfTeSeBr2 after structural relaxation, as listed in Alexandria via LeMat-Bulk.

The structure in CIF format:
```
data_HfTeSeBr2
_chemical_formula_sum 'Hf1 Te1 Se1 Br2'
_cell_length_a 5.557
_cell_length_b 5.557
_cell_length_c 5.496
_cell_angle_alpha 90.00
_cell_angle_beta 90.00
_cell_angle_gamma 90.00
_space_group_name_H-M_alt 'P 4/m m m'
_space_group_IT_number 123
_space_group_name_Hall '-P 4 2'
loop_
_atom_site_label
_atom_site_fract_x
_atom_site_fract_y
_atom_site_fract_z
Hf1 0.000 0.000 0.000
Te1 0.500 0.500 0.500
Se1 0.500 0.500 0.000
Br1 0.000 0.500 0.500
```

Results
E_form (uncorrected): 0.776 eV/atom
Energy above the most stable polymorph in this dataset: 1.1585 eV per atom
N(E_F): 1.6909 states/eV/atom
Uncorrected energy: -16.05 eV per formula unit